Record 1
A geometry-optimized K2LiCu structure. Source: Alexandria, functional PBE.

Results
D(E_F) = 1.6 states/eV per cell
calculated total energy = -1.816 eV/atom
E above lowest polymorph = 0.109 eV/f.u.

The structure in CIF format:
```
data_K2LiCu
_chemical_formula_sum 'K2 Li1 Cu1'
_cell_length_a 3.786
_cell_length_b 3.786
_cell_length_c 9.996
_cell_angle_alpha 90.00
_cell_angle_beta 90.00
_cell_angle_gamma 90.00
_space_group_name_H-M_alt 'P 4 m m'
_space_group_IT_number 99
_space_group_name_Hall 'P 4 -2'
loop_
_atom_site_label
_atom_site_type_symbol
_atom_site_fract_x
_atom_site_fract_y
_atom_site_fract_z
_atom_site_occupancy
K1 K 0.000 0.000 0.000 1
K2 K 0.500 0.500 0.408 1
Li1 Li 0.000 0.000 0.685 1
Cu1 Cu 0.500 0.500 0.749 1
```

Record 2
A geometry-optimized K3LiCu structure. Source: Alexandria, functional PBE.

Results
D(E_F) = 4.5 states/eV per cell
calculated total energy = -1.550 eV/atom
E above lowest polymorph = 0.000 eV/f.u.

The structure in CIF format:
```
data_K3LiCu
_chemical_formula_sum 'K3 Li1 Cu1'
_cell_length_a 6.409
_cell_length_b 6.409
_cell_length_c 6.409
_cell_angle_alpha 90.00
_cell_angle_beta 90.00
_cell_angle_gamma 90.00
_space_group_name_H-M_alt 'P m -3 m'
_space_group_IT_number 221
_space_group_name_Hall '-P 4 2 3'
loop_
_atom_site_label
_atom_site_type_symbol
_atom_site_fract_x
_atom_site_fract_y
_atom_site_fract_z
_atom_site_occupancy
K1 K 0.000 0.000 0.500 1
Li1 Li 0.500 0.500 0.500 1
Cu1 Cu 0.000 0.000 0.000 1
```

Record 3
A geometry-optimized K2LiCu structure. Source: Alexandria, functional PBE.

Results
D(E_F) = 8.1 states/eV per cell
calculated total energy = -1.843 eV/atom
E above lowest polymorph = 0.000 eV/f.u.

The structure in CIF format:
```
data_K2LiCu
_chemical_formula_sum 'K6 Li3 Cu3'
_cell_length_a 4.5694
_cell_length_b 4.5694
_cell_length_c 26.4228
_cell_angle_alpha 90.00
_cell_angle_beta 90.00
_cell_angle_gamma 120.00
_space_group_name_H-M_alt 'R 3 m'
_space_group_IT_number 160
_space_group_name_Hall 'R 3 -2"'
loop_
_atom_site_label
_atom_site_type_symbol
_atom_site_fract_x
_atom_site_fract_y
_atom_site_fract_z
_atom_site_occupancy
K1 K 0.0000 0.0000 0.0000 1
K2 K 0.0000 0.0000 0.1820 1
Li1 Li 0.0000 0.0000 0.7577 1
Cu1 Cu 0.0000 0.0000 0.4241 1
```

Record 4
A geometry-optimized K2LiCu structure. Source: Alexandria, functional PBE.

Results
D(E_F) = 1.7 states/eV per cell
calculated total energy = -1.733 eV/atom
E above lowest polymorph = 0.441 eV/f.u.

The structure in CIF format:
```
data_K2LiCu
_chemical_formula_sum 'K2 Li1 Cu1'
_cell_length_a 4.021
_cell_length_b 4.091
_cell_length_c 9.090
_cell_angle_alpha 90.00
_cell_angle_beta 90.10
_cell_angle_gamma 90.00
_space_group_name_H-M_alt 'P 1 2/m 1'
_space_group_IT_number 10
_space_group_name_Hall '-P 2y'
loop_
_atom_site_label
_atom_site_type_symbol
_atom_site_fract_x
_atom_site_fract_y
_atom_site_fract_z
_atom_site_occupancy
K1 K 0.000 0.000 0.212 1
Li1 Li 0.500 0.500 0.500 1
Cu1 Cu 0.500 0.500 0.000 1
```

Record 5
A geometry-optimized KLi2Cu2 structure. Source: Alexandria, functional PBE.

Results
D(E_F) = 3.8 states/eV per cell
calculated total energy = -2.414 eV/atom
E above lowest polymorph = 0.000 eV/f.u.

The structure in CIF format:
```
data_KLi2Cu2
_chemical_formula_sum 'K2 Li4 Cu4'
_cell_length_a 4.456
_cell_length_b 4.456
_cell_length_c 11.018
_cell_angle_alpha 90.00
_cell_angle_beta 90.00
_cell_angle_gamma 90.00
_space_group_name_H-M_alt 'I 4/m m m'
_space_group_IT_number 139
_space_group_name_Hall '-I 4 2'
loop_
_atom_site_label
_atom_site_type_symbol
_atom_site_fract_x
_atom_site_fract_y
_atom_site_fract_z
_atom_site_occupancy
K1 K 0.000 0.000 0.000 1
Li1 Li 0.000 0.500 0.250 1
Cu1 Cu 0.000 0.000 0.389 1
```

Record 6
A geometry-optimized K2LiCu structure. Source: Alexandria, functional PBE.

Results
D(E_F) = 9.4 states/eV per cell
calculated total energy = -1.663 eV/atom
E above lowest polymorph = 0.722 eV/f.u.

The structure in CIF format:
```
data_K2LiCu
_chemical_formula_sum 'K6 Li3 Cu3'
_cell_length_a 4.3957
_cell_length_b 4.3957
_cell_length_c 30.4100
_cell_angle_alpha 90.00
_cell_angle_beta 90.00
_cell_angle_gamma 120.00
_space_group_name_H-M_alt 'R -3 m'
_space_group_IT_number 166
_space_group_name_Hall '-R 3 2"'
loop_
_atom_site_label
_atom_site_type_symbol
_atom_site_fract_x
_atom_site_fract_y
_atom_site_fract_z
_atom_site_occupancy
K1 K 0.0000 0.0000 0.2353 1
Li1 Li 0.0000 0.0000 0.0000 1
Cu1 Cu 0.0000 0.0000 0.5000 1
```

Record 7
A geometry-optimized KLi3Cu structure. Source: Alexandria, functional PBE.

Results
D(E_F) = 1.9 states/eV per cell
calculated total energy = -1.199 eV/atom
E above lowest polymorph = 4.131 eV/f.u.

The structure in CIF format:
```
data_KLi3Cu
_chemical_formula_sum 'K1 Li3 Cu1'
_cell_length_a 5.054
_cell_length_b 5.054
_cell_length_c 5.054
_cell_angle_alpha 90.00
_cell_angle_beta 90.00
_cell_angle_gamma 90.00
_space_group_name_H-M_alt 'P m -3 m'
_space_group_IT_number 221
_space_group_name_Hall '-P 4 2 3'
loop_
_atom_site_label
_atom_site_type_symbol
_atom_site_fract_x
_atom_site_fract_y
_atom_site_fract_z
_atom_site_occupancy
K1 K 0.000 0.000 0.000 1
Li1 Li 0.000 0.000 0.500 1
Cu1 Cu 0.500 0.500 0.500 1
```

Record 8
A geometry-optimized KLiCu3 structure. Source: Alexandria, functional PBE.

Results
D(E_F) = 1.2 states/eV per cell
calculated total energy = -2.475 eV/atom
E above lowest polymorph = 0.000 eV/f.u.

The structure in CIF format:
```
data_KLiCu3
_chemical_formula_sum 'K1 Li1 Cu3'
_cell_length_a 4.659
_cell_length_b 4.659
_cell_length_c 4.659
_cell_angle_alpha 90.00
_cell_angle_beta 90.00
_cell_angle_gamma 90.00
_space_group_name_H-M_alt 'P m -3 m'
_space_group_IT_number 221
_space_group_name_Hall '-P 4 2 3'
loop_
_atom_site_label
_atom_site_type_symbol
_atom_site_fract_x
_atom_site_fract_y
_atom_site_fract_z
_atom_site_occupancy
K1 K 0.000 0.000 0.000 1
Li1 Li 0.500 0.500 0.500 1
Cu1 Cu 0.000 0.500 0.500 1
```

Record 9
A geometry-optimized K2LiCu structure. Source: Alexandria, functional PBE.

Results
D(E_F) = 6.5 states/eV per cell
calculated total energy = -1.683 eV/atom
E above lowest polymorph = 0.643 eV/f.u.

The structure in CIF format:
```
data_K2LiCu
_chemical_formula_sum 'K8 Li4 Cu4'
_cell_length_a 8.333
_cell_length_b 8.333
_cell_length_c 8.333
_cell_angle_alpha 90.00
_cell_angle_beta 90.00
_cell_angle_gamma 90.00
_space_group_name_H-M_alt 'F m -3 m'
_space_group_IT_number 225
_space_group_name_Hall '-F 4 2 3'
loop_
_atom_site_label
_atom_site_type_symbol
_atom_site_fract_x
_atom_site_fract_y
_atom_site_fract_z
_atom_site_occupancy
K1 K 0.250 0.250 0.250 1
Li1 Li 0.000 0.000 0.000 1
Cu1 Cu 0.000 0.000 0.500 1
```

Record 10
A geometry-optimized KLi2Cu2 structure. Source: Alexandria, functional PBE.

Results
D(E_F) = 6.3 states/eV per cell
calculated total energy = -2.400 eV/atom
E above lowest polymorph = 0.068 eV/f.u.

The structure in CIF format:
```
data_KLi2Cu2
_chemical_formula_sum 'K2 Li4 Cu4'
_cell_length_a 8.147
_cell_length_b 8.147
_cell_length_c 2.833
_cell_angle_alpha 90.00
_cell_angle_beta 90.00
_cell_angle_gamma 90.00
_space_group_name_H-M_alt 'P 4/m b m'
_space_group_IT_number 127
_space_group_name_Hall '-P 4 2ab'
loop_
_atom_site_label
_atom_site_type_symbol
_atom_site_fract_x
_atom_site_fract_y
_atom_site_fract_z
_atom_site_occupancy
K1 K 0.000 0.000 0.000 1
Li1 Li 0.162 0.338 0.000 1
Cu1 Cu 0.115 0.615 0.500 1
```

Record 11
A geometry-optimized KLiCu3 structure. Source: Alexandria, functional PBE.

Results
D(E_F) = 3.0 states/eV per cell
calculated total energy = -1.689 eV/atom
E above lowest polymorph = 3.932 eV/f.u.

The structure in CIF format:
```
data_KLiCu3
_chemical_formula_sum 'K1 Li1 Cu3'
_cell_length_a 5.473
_cell_length_b 5.473
_cell_length_c 5.473
_cell_angle_alpha 90.00
_cell_angle_beta 90.00
_cell_angle_gamma 90.00
_space_group_name_H-M_alt 'P m -3 m'
_space_group_IT_number 221
_space_group_name_Hall '-P 4 2 3'
loop_
_atom_site_label
_atom_site_type_symbol
_atom_site_fract_x
_atom_site_fract_y
_atom_site_fract_z
_atom_site_occupancy
K1 K 0.000 0.000 0.000 1
Li1 Li 0.500 0.500 0.500 1
Cu1 Cu 0.000 0.000 0.500 1
```

Record 12
A geometry-optimized K2LiCu structure. Source: Alexandria, functional PBE.

Results
D(E_F) = 1.5 states/eV per cell
calculated total energy = -1.757 eV/atom
E above lowest polymorph = 0.343 eV/f.u.

The structure in CIF format:
```
data_K2LiCu
_chemical_formula_sum 'K8 Li4 Cu4'
_cell_length_a 12.153
_cell_length_b 12.153
_cell_length_c 5.013
_cell_angle_alpha 90.00
_cell_angle_beta 90.00
_cell_angle_gamma 90.00
_space_group_name_H-M_alt 'I -4 2 d'
_space_group_IT_number 122
_space_group_name_Hall 'I -4 2bw'
loop_
_atom_site_label
_atom_site_type_symbol
_atom_site_fract_x
_atom_site_fract_y
_atom_site_fract_z
_atom_site_occupancy
K1 K 0.089 0.250 0.125 1
Li1 Li 0.000 0.000 0.500 1
Cu1 Cu 0.000 0.000 0.000 1
```

Record 13
A geometry-optimized KLi3Cu structure. Source: Alexandria, functional PBE.

Results
D(E_F) = 2.6 states/eV per cell
calculated total energy = -2.025 eV/atom
E above lowest polymorph = 0.000 eV/f.u.

The structure in CIF format:
```
data_KLi3Cu
_chemical_formula_sum 'K1 Li3 Cu1'
_cell_length_a 5.097
_cell_length_b 5.097
_cell_length_c 5.097
_cell_angle_alpha 90.00
_cell_angle_beta 90.00
_cell_angle_gamma 90.00
_space_group_name_H-M_alt 'P m -3 m'
_space_group_IT_number 221
_space_group_name_Hall '-P 4 2 3'
loop_
_atom_site_label
_atom_site_type_symbol
_atom_site_fract_x
_atom_site_fract_y
_atom_site_fract_z
_atom_site_occupancy
K1 K 0.000 0.000 0.000 1
Li1 Li 0.000 0.500 0.500 1
Cu1 Cu 0.500 0.500 0.500 1
```

Record 14
A geometry-optimized K2LiCu structure. Source: Alexandria, functional PBE.

Results
D(E_F) = 2.3 states/eV per cell
calculated total energy = -1.806 eV/atom
E above lowest polymorph = 0.148 eV/f.u.

The structure in CIF format:
```
data_K2LiCu
_chemical_formula_sum 'K2 Li1 Cu1'
_cell_length_a 5.193
_cell_length_b 4.535
_cell_length_c 6.947
_cell_angle_alpha 90.00
_cell_angle_beta 111.86
_cell_angle_gamma 90.00
_space_group_name_H-M_alt 'P 1 m 1'
_space_group_IT_number 6
_space_group_name_Hall 'P -2y'
loop_
_atom_site_label
_atom_site_type_symbol
_atom_site_fract_x
_atom_site_fract_y
_atom_site_fract_z
_atom_site_occupancy
K1 K 0.000 0.000 0.000 1
K2 K 0.293 0.500 0.587 1
Li1 Li 0.683 0.000 0.367 1
Cu1 Cu 0.587 0.500 0.176 1
```

Record 15
A geometry-optimized K2LiCu structure. Source: Alexandria, functional PBE.

Results
D(E_F) = 3.6 states/eV per cell
calculated total energy = -1.687 eV/atom
E above lowest polymorph = 0.625 eV/f.u.

The structure in CIF format:
```
data_K2LiCu
_chemical_formula_sum 'K4 Li2 Cu2'
_cell_length_a 5.723
_cell_length_b 5.723
_cell_length_c 8.028
_cell_angle_alpha 90.00
_cell_angle_beta 90.00
_cell_angle_gamma 90.00
_space_group_name_H-M_alt 'I -4 m 2'
_space_group_IT_number 119
_space_group_name_Hall 'I -4 -2'
loop_
_atom_site_label
_atom_site_type_symbol
_atom_site_fract_x
_atom_site_fract_y
_atom_site_fract_z
_atom_site_occupancy
K1 K 0.000 0.000 0.000 1
K2 K 0.000 0.500 0.250 1
Li1 Li 0.000 0.000 0.500 1
Cu1 Cu 0.000 0.500 0.750 1
```

Record 16
A geometry-optimized KNa2LiCu structure. Source: Alexandria, functional PBE.

Results
D(E_F) = 2.0 states/eV per cell
calculated total energy = -1.758 eV/atom

The structure in CIF format:
```
data_KNa2LiCu
_chemical_formula_sum 'K1 Na2 Li1 Cu1'
_cell_length_a 5.699
_cell_length_b 5.699
_cell_length_c 5.190
_cell_angle_alpha 90.00
_cell_angle_beta 90.00
_cell_angle_gamma 90.00
_space_group_name_H-M_alt 'P 4/m m m'
_space_group_IT_number 123
_space_group_name_Hall '-P 4 2'
loop_
_atom_site_label
_atom_site_type_symbol
_atom_site_fract_x
_atom_site_fract_y
_atom_site_fract_z
_atom_site_occupancy
K1 K 0.000 0.000 0.000 1
Na1 Na 0.000 0.500 0.500 1
Li1 Li 0.500 0.500 0.000 1
Cu1 Cu 0.500 0.500 0.500 1
```

Record 17
A geometry-optimized KLiCuO2 structure. Source: Alexandria, functional PBE.

Results
D(E_F) = 18.6 states/eV per cell
calculated total energy = -4.538 eV/atom
energy relative to the elements, uncorrected = -1.13 eV/atom

The structure in CIF format:
```
data_KLiCuO2
_chemical_formula_sum 'K4 Li4 Cu4 O8'
_cell_length_a 4.846
_cell_length_b 11.530
_cell_length_c 5.000
_cell_angle_alpha 90.00
_cell_angle_beta 90.00
_cell_angle_gamma 90.00
_space_group_name_H-M_alt 'C m m e'
_space_group_IT_number 67
_space_group_name_Hall '-C 2a 2'
loop_
_atom_site_label
_atom_site_type_symbol
_atom_site_fract_x
_atom_site_fract_y
_atom_site_fract_z
_atom_site_occupancy
K1 K 0.000 0.250 0.232 1
Li1 Li 0.250 0.000 0.000 1
Cu1 Cu 0.000 0.000 0.500 1
O1 O 0.000 0.097 0.780 1
```

Record 18
A geometry-optimized KLiCuP structure. Source: Alexandria, functional PBE.

Results
D(E_F) = 1.2 states/eV per cell
calculated total energy = -3.521 eV/atom

The structure in CIF format:
```
data_KLiCuP
_chemical_formula_sum 'K3 Li3 Cu3 P3'
_cell_length_a 4.1412
_cell_length_b 4.1412
_cell_length_c 17.1699
_cell_angle_alpha 90.00
_cell_angle_beta 90.00
_cell_angle_gamma 120.00
_space_group_name_H-M_alt 'R 3 m'
_space_group_IT_number 160
_space_group_name_Hall 'R 3 -2"'
loop_
_atom_site_label
_atom_site_type_symbol
_atom_site_fract_x
_atom_site_fract_y
_atom_site_fract_z
_atom_site_occupancy
K1 K 0.0000 0.0000 0.0000 1
Li1 Li 0.0000 0.0000 0.8195 1
Cu1 Cu 0.0000 0.0000 0.1899 1
P1 P 0.0000 0.0000 0.5193 1
```

Record 19
A geometry-optimized K2LiCu3Se4 structure. Source: Alexandria, functional PBE.

Results
D(E_F) = 4.5 states/eV per cell
calculated total energy = -3.657 eV/atom
energy relative to the elements, uncorrected = -0.62 eV/atom

The structure in CIF format:
```
data_K2LiCu3Se4
_chemical_formula_sum 'K2 Li1 Cu3 Se4'
_cell_length_a 4.563
_cell_length_b 4.563
_cell_length_c 9.893
_cell_angle_alpha 90.00
_cell_angle_beta 90.00
_cell_angle_gamma 90.00
_space_group_name_H-M_alt 'P -4 m 2'
_space_group_IT_number 115
_space_group_name_Hall 'P -4 -2'
loop_
_atom_site_label
_atom_site_type_symbol
_atom_site_fract_x
_atom_site_fract_y
_atom_site_fract_z
_atom_site_occupancy
K1 K 0.000 0.500 0.247 1
Li1 Li 0.500 0.500 0.000 1
Cu1 Cu 0.000 0.000 0.000 1
Cu2 Cu 0.000 0.500 0.610 1
Se1 Se 0.000 0.000 0.500 1
Se2 Se 0.000 0.500 0.869 1
Se3 Se 0.500 0.500 0.500 1
```

Record 20
A geometry-optimized KLiCu2Se2 structure. Source: Alexandria, functional PBE.

Results
D(E_F) = 0.1 states/eV per cell
calculated total energy = -3.694 eV/atom
energy relative to the elements, uncorrected = -0.66 eV/atom

The structure in CIF format:
```
data_KLiCu2Se2
_chemical_formula_sum 'K1 Li1 Cu2 Se2'
_cell_length_a 4.1662
_cell_length_b 4.1662
_cell_length_c 8.0888
_cell_angle_alpha 90.00
_cell_angle_beta 90.00
_cell_angle_gamma 120.00
_space_group_name_H-M_alt 'P -3 m 1'
_space_group_IT_number 164
_space_group_name_Hall '-P 3 2"'
loop_
_atom_site_label
_atom_site_type_symbol
_atom_site_fract_x
_atom_site_fract_y
_atom_site_fract_z
_atom_site_occupancy
K1 K 0.0000 0.0000 0.0000 1
Li1 Li 0.0000 0.0000 0.5000 1
Cu1 Cu 0.3333 0.6667 0.3380 1
Se1 Se 0.3333 0.6667 0.7085 1
```